This record from Alexandria via LeMat-Bulk describes Np2CrP4Ir3 after structural relaxation. The functional is PBE.

Calculated values
The calculation puts the spin magnetization at 5.11 μB per cell. The uncorrected energy is -9.036 eV/atom. The value obtained for the formation enthalpy at 0 K is -663.6 meV/atom.

```
Np2CrP4Ir3
1.0
4.148 0.000 0.000
0.000 4.148 0.000
0.000 0.000 9.421
Np Cr P Ir
2 1 4 3
Cartesian
0.000 2.074 2.328 Np
2.074 0.000 7.093 Np
0.000 0.000 4.710 Cr
0.000 0.000 0.000 P
0.000 2.074 5.977 P
2.074 0.000 3.444 P
2.074 2.074 0.000 P
0.000 2.074 8.341 Ir
2.074 0.000 1.080 Ir
2.074 2.074 4.710 Ir
```